[1]
The following is a DFT calculation (GGA-PBE) of a relaxed structure of SrLaEuHo.

The structure in CIF format:
```
data_SrLaEuHo
_chemical_formula_sum 'Sr4 La4 Eu4 Ho4'
_cell_length_a 8.599
_cell_length_b 8.599
_cell_length_c 8.599
_cell_angle_alpha 90.00
_cell_angle_beta 90.00
_cell_angle_gamma 90.00
_space_group_name_H-M_alt 'F -4 3 m'
_space_group_IT_number 216
_space_group_name_Hall 'F -4 2 3'
loop_
_atom_site_label
_atom_site_type_symbol
_atom_site_fract_x
_atom_site_fract_y
_atom_site_fract_z
Sr1 Sr 0.000 0.000 0.000
La1 La 0.250 0.250 0.250
Eu1 Eu 0.250 0.250 0.750
Ho1 Ho 0.000 0.000 0.500
```

Values from the calculation:
**V**: 635.87 Å³/cell
**Formation enthalpy at 0 K**: 18.80 kJ/mol of atoms
**Energy**: -5.17 eV/atom

[2]
The following is a DFT calculation (GGA-PBE) of a relaxed structure of TbHo14Tm.

The structure in CIF format:
```
data_TbHo14Tm
_chemical_formula_sum 'Tb2 Ho28 Tm2'
_cell_length_a 11.354
_cell_length_b 7.067
_cell_length_c 12.236
_cell_angle_alpha 90.00
_cell_angle_beta 90.00
_cell_angle_gamma 90.00
_space_group_name_H-M_alt 'A m m 2'
_space_group_IT_number 38
loop_
_space_group_symop_operation_xyz
'x,y,z'
'-x,-y,z'
'-x,y,z'
'x,-y,z'
'x,y+1/2,z+1/2'
'-x,-y+1/2,z+1/2'
'-x,y+1/2,z+1/2'
'x,-y+1/2,z+1/2'
loop_
_atom_site_label
_atom_site_type_symbol
_atom_site_fract_x
_atom_site_fract_y
_atom_site_fract_z
Tb1 Tb 0.000 0.000 0.000
Ho1 Ho 0.000 0.250 0.250
Ho2 Ho 0.250 0.000 0.667
Ho3 Ho 0.250 0.250 0.417
Ho4 Ho 0.251 0.000 0.167
Ho5 Ho 0.500 0.000 0.334
Ho6 Ho 0.500 0.000 0.834
Ho7 Ho 0.500 0.250 0.084
Tm1 Tm 0.000 0.000 0.500
```

Values from the calculation:
**V**: 981.71 Å³/cell
**Formation enthalpy at 0 K**: 0.36 kJ/mol of atoms
**Energy**: -4.57 eV/atom

[3]
The following is a DFT calculation (GGA-PBE) of a relaxed structure of LiSmEuHo.

The structure in CIF format:
```
data_LiSmEuHo
_chemical_formula_sum 'Li4 Sm4 Eu4 Ho4'
_cell_length_a 7.988
_cell_length_b 7.988
_cell_length_c 7.988
_cell_angle_alpha 90.00
_cell_angle_beta 90.00
_cell_angle_gamma 90.00
_space_group_name_H-M_alt 'F -4 3 m'
_space_group_IT_number 216
_space_group_name_Hall 'F -4 2 3'
loop_
_atom_site_label
_atom_site_type_symbol
_atom_site_fract_x
_atom_site_fract_y
_atom_site_fract_z
Li1 Li 0.000 0.000 0.000
Sm1 Sm 0.250 0.250 0.250
Eu1 Eu 0.250 0.250 0.750
Ho1 Ho 0.000 0.000 0.500
```

Values from the calculation:
**V**: 509.63 Å³/cell
**Formation enthalpy at 0 K**: 19.69 kJ/mol of atoms
**Energy**: -5.17 eV/atom

[4]
The following is a DFT calculation (GGA-PBE) of a relaxed structure of Ca2TaCl.

The structure in CIF format:
```
data_Ca2TaCl
_chemical_formula_sum 'Ca6 Ta3 Cl3'
_cell_length_a 3.4469
_cell_length_b 3.4469
_cell_length_c 28.0111
_cell_angle_alpha 90.00
_cell_angle_beta 90.00
_cell_angle_gamma 120.00
_space_group_name_H-M_alt 'R -3 m'
_space_group_IT_number 166
_space_group_name_Hall '-R 3 2"'
loop_
_atom_site_label
_atom_site_type_symbol
_atom_site_fract_x
_atom_site_fract_y
_atom_site_fract_z
Ca1 Ca 0.0000 0.0000 0.2442
Ta1 Ta 0.0000 0.0000 0.0000
Cl1 Cl 0.0000 0.0000 0.5000
```

Values from the calculation:
**V**: 288.18 Å³/cell
**ΔE_f (raw)**: -330 meV/atom
**Energy**: -4.76 eV/atom

[5]
The following is a DFT calculation (GGA-PBE) of a relaxed structure of Mg2CdSn.

The structure in CIF format:
```
data_Mg2CdSn
_chemical_formula_sum 'Mg4 Cd2 Sn2'
_cell_length_a 3.197
_cell_length_b 5.502
_cell_length_c 11.953
_cell_angle_alpha 90.00
_cell_angle_beta 90.00
_cell_angle_gamma 90.00
_space_group_name_H-M_alt 'I m m m'
_space_group_IT_number 71
_space_group_name_Hall '-I 2 2'
loop_
_atom_site_label
_atom_site_type_symbol
_atom_site_fract_x
_atom_site_fract_y
_atom_site_fract_z
Mg1 Mg 0.000 0.000 0.249
Cd1 Cd 0.000 0.000 0.000
Sn1 Sn 0.000 0.000 0.500
```

Values from the calculation:
**V**: 210.24 Å³/cell
**Formation enthalpy at 0 K**: 14.89 kJ/mol of atoms
**Energy**: -1.87 eV/atom

[6]
The following is a DFT calculation (GGA-PBE) of a relaxed structure of Sm2GaGe3Pt4.

The structure in CIF format:
```
data_Sm2GaGe3Pt4
_chemical_formula_sum 'Sm2 Ga1 Ge3 Pt4'
_cell_length_a 4.343
_cell_length_b 4.343
_cell_length_c 10.142
_cell_angle_alpha 90.00
_cell_angle_beta 90.00
_cell_angle_gamma 90.00
_space_group_name_H-M_alt 'P -4 m 2'
_space_group_IT_number 115
loop_
_space_group_symop_operation_xyz
'x,y,z'
'y,-x,-z'
'-x,-y,z'
'-y,x,-z'
'-x,y,z'
'-y,-x,-z'
'x,-y,z'
'y,x,-z'
loop_
_atom_site_label
_atom_site_type_symbol
_atom_site_fract_x
_atom_site_fract_y
_atom_site_fract_z
Sm1 Sm 0.000 0.500 0.246
Ga1 Ga 0.500 0.500 0.000
Ge1 Ge 0.000 0.000 0.000
Ge2 Ge 0.000 0.500 0.630
Pt1 Pt 0.000 0.000 0.500
Pt2 Pt 0.000 0.500 0.871
Pt3 Pt 0.500 0.500 0.500
```

Values from the calculation:
**V**: 191.30 Å³/cell
**Formation enthalpy at 0 K**: -91.36 kJ/mol of atoms
**Energy**: -5.99 eV/atom

[7]
The following is a DFT calculation (GGA-PBE) of a relaxed structure of PmHfZnAg.

The structure in CIF format:
```
data_PmHfZnAg
_chemical_formula_sum 'Pm4 Hf4 Zn4 Ag4'
_cell_length_a 7.067
_cell_length_b 7.067
_cell_length_c 7.067
_cell_angle_alpha 90.00
_cell_angle_beta 90.00
_cell_angle_gamma 90.00
_space_group_name_H-M_alt 'F -4 3 m'
_space_group_IT_number 216
_space_group_name_Hall 'F -4 2 3'
loop_
_atom_site_label
_atom_site_type_symbol
_atom_site_fract_x
_atom_site_fract_y
_atom_site_fract_z
Pm1 Pm 0.000 0.000 0.000
Hf1 Hf 0.000 0.000 0.500
Zn1 Zn 0.250 0.250 0.750
Ag1 Ag 0.250 0.250 0.250
```

Values from the calculation:
**V**: 352.97 Å³/cell
**Formation enthalpy at 0 K**: -4.13 kJ/mol of atoms
**Energy**: -4.75 eV/atom

[8]
The following is a DFT calculation (GGA-PBE) of a relaxed structure of AlZn2Ag6.

The structure in CIF format:
```
data_AlZn2Ag6
_chemical_formula_sum 'Al4 Zn8 Ag24'
_cell_length_a 14.104
_cell_length_b 9.412
_cell_length_c 4.653
_cell_angle_alpha 90.00
_cell_angle_beta 97.53
_cell_angle_gamma 90.00
_space_group_name_H-M_alt 'C 1 2/c 1'
_space_group_IT_number 15
loop_
_space_group_symop_operation_xyz
'x,y,z'
'-x,-y,-z'
'-x,y,-z+1/2'
'x,-y,z+1/2'
'x+1/2,y+1/2,z'
'-x+1/2,-y+1/2,-z'
'-x+1/2,y+1/2,-z+1/2'
'x+1/2,-y+1/2,z+1/2'
loop_
_atom_site_label
_atom_site_type_symbol
_atom_site_fract_x
_atom_site_fract_y
_atom_site_fract_z
Al1 Al 0.000 0.137 0.250
Zn1 Zn 0.168 0.365 0.082
Ag1 Ag 0.063 0.384 0.528
Ag2 Ag 0.103 0.116 0.801
Ag3 Ag 0.228 0.118 0.361
```

Values from the calculation:
**V**: 612.26 Å³/cell
**Formation enthalpy at 0 K**: -0.81 kJ/mol of atoms
**Energy**: -2.61 eV/atom

[9]
The following is a DFT calculation (GGA-PBE) of a relaxed structure of BaScF2.

The structure in CIF format:
```
data_BaScF2
_chemical_formula_sum 'Ba4 Sc4 F8'
_cell_length_a 6.758
_cell_length_b 6.758
_cell_length_c 6.758
_cell_angle_alpha 90.00
_cell_angle_beta 90.00
_cell_angle_gamma 90.00
_space_group_name_H-M_alt 'F m -3 m'
_space_group_IT_number 225
_space_group_name_Hall '-F 4 2 3'
loop_
_atom_site_label
_atom_site_type_symbol
_atom_site_fract_x
_atom_site_fract_y
_atom_site_fract_z
Ba1 Ba 0.000 0.000 0.000
Sc1 Sc 0.000 0.000 0.500
F1 F 0.250 0.250 0.250
```

Values from the calculation:
**V**: 308.64 Å³/cell
**ΔE_f (raw)**: -1655 meV/atom
**Energy**: -4.65 eV/atom

[10]
The following is a DFT calculation (GGA-PBE) of a relaxed structure of La3AgPd8.

The structure in CIF format:
```
data_La3AgPd8
_chemical_formula_sum 'La9 Ag3 Pd24'
_cell_length_a 5.4937
_cell_length_b 5.4937
_cell_length_c 27.1343
_cell_angle_alpha 90.00
_cell_angle_beta 90.00
_cell_angle_gamma 120.00
_space_group_name_H-M_alt 'R 3 m'
_space_group_IT_number 160
_space_group_name_Hall 'R 3 -2"'
loop_
_atom_site_label
_atom_site_type_symbol
_atom_site_fract_x
_atom_site_fract_y
_atom_site_fract_z
La1 La 0.0000 0.0000 0.0000
La2 La 0.0000 0.0000 0.1308
La3 La 0.0000 0.0000 0.6102
Ag1 Ag 0.0000 0.0000 0.4907
Pd1 Pd 0.0000 0.0000 0.3097
Pd2 Pd 0.0000 0.0000 0.8100
Pd3 Pd 0.0004 0.5002 0.0597
Pd4 Pd 0.0027 0.5013 0.5600
```

Values from the calculation:
**V**: 709.21 Å³/cell
**Formation enthalpy at 0 K**: -69.27 kJ/mol of atoms
**Energy**: -5.65 eV/atom

[11]
The following is a DFT calculation (GGA-PBE) of a relaxed structure of ZrBi2Pb2.

The structure in CIF format:
```
data_ZrBi2Pb2
_chemical_formula_sum 'Zr2 Bi4 Pb4'
_cell_length_a 7.941
_cell_length_b 7.941
_cell_length_c 4.948
_cell_angle_alpha 90.00
_cell_angle_beta 90.00
_cell_angle_gamma 90.00
_space_group_name_H-M_alt 'P 4/m b m'
_space_group_IT_number 127
_space_group_name_Hall '-P 4 2ab'
loop_
_atom_site_label
_atom_site_type_symbol
_atom_site_fract_x
_atom_site_fract_y
_atom_site_fract_z
Zr1 Zr 0.000 0.000 0.000
Bi1 Bi 0.155 0.345 0.000
Pb1 Pb 0.158 0.658 0.500
```

Values from the calculation:
**V**: 312.02 Å³/cell
**Formation enthalpy at 0 K**: 9.05 kJ/mol of atoms
**Energy**: -4.65 eV/atom

[12]
The following is a DFT calculation (GGA-PBE) of a relaxed structure of CeSmHg6.

The structure in CIF format:
```
data_CeSmHg6
_chemical_formula_sum 'Ce2 Sm2 Hg12'
_cell_length_a 5.078
_cell_length_b 6.792
_cell_length_c 11.761
_cell_angle_alpha 90.00
_cell_angle_beta 90.00
_cell_angle_gamma 90.00
_space_group_name_H-M_alt 'A m m 2'
_space_group_IT_number 38
loop_
_space_group_symop_operation_xyz
'x,y,z'
'-x,-y,z'
'-x,y,z'
'x,-y,z'
'x,y+1/2,z+1/2'
'-x,-y+1/2,z+1/2'
'-x,y+1/2,z+1/2'
'x,-y+1/2,z+1/2'
loop_
_atom_site_label
_atom_site_type_symbol
_atom_site_fract_x
_atom_site_fract_y
_atom_site_fract_z
Ce1 Ce 0.000 0.000 0.000
Sm1 Sm 0.500 0.000 0.669
Hg1 Hg 0.000 0.000 0.501
Hg2 Hg 0.000 0.246 0.252
Hg3 Hg 0.500 0.000 0.170
Hg4 Hg 0.500 0.243 0.416
```

Values from the calculation:
**V**: 405.67 Å³/cell
**Formation enthalpy at 0 K**: -36.52 kJ/mol of atoms
**Energy**: -1.94 eV/atom

energy of number 6 (Sm2GaGe3Pt4)?
-5.99 eV/atom

Which value of V does entry 8 give?
612.26 Å³/cell